1.
Density functional theory data (PBE) for crystalline Rb2CdIn4Ga3 at its relaxed geometry.

Values from the calculation:
**Raw total energy**: -0.087 Ha/atom
**Space group**: P-4m2 (115)
**Total moment**: 0.00 μB/atom
**DOS(E_F)**: 3.77 states/eV/f.u.

a = 4.893 Å, b = 4.893 Å, c = 12.049 Å
α = 90.00°, β = 90.00°, γ = 90.00°
Fractional coordinates of all 10 atoms:
1 Ga 0.000 0.500 0.131
2 Cd 0.500 0.500 0.500
3 In 0.500 0.500 0.000
4 Ga 0.000 0.000 0.500
5 In 0.000 0.500 0.364
6 Rb 0.000 0.500 0.752
7 In 0.000 0.000 0.000
8 Rb 0.500 0.000 0.248
9 Ga 0.500 0.000 0.869
10 In 0.500 0.000 0.636



2.
Density functional theory data (PBE) for crystalline CdIn2GaRh at its relaxed geometry.

Values from the calculation:
**Raw total energy**: -0.128 Ha/atom
**Space group**: P4/mmm (123)
**Total moment**: 0.00 μB/atom
**DOS(E_F)**: 1.75 states/eV/f.u.

a = 5.196 Å, b = 5.196 Å, c = 4.802 Å
α = 90.00°, β = 90.00°, γ = 90.00°
Fractional coordinates of all 5 atoms:
1 In 0.000 0.500 0.000
2 In 0.500 0.000 0.000
3 Cd 0.500 0.500 0.500
4 Rh 0.000 0.000 0.000
5 Ga 0.000 0.000 0.500



3.
Density functional theory data (PBE) for crystalline CdInGaRh2 at its relaxed geometry.

Values from the calculation:
**Raw total energy**: -0.116 Ha/atom
**Space group**: P4/mmm (123)
**Total moment**: 0.00 μB/atom
**DOS(E_F)**: 4.82 states/eV/f.u.

a = 4.981 Å, b = 5.071 Å, c = 4.981 Å
α = 90.00°, β = 90.00°, γ = 90.00°
Fractional coordinates of all 5 atoms:
1 Rh 0.500 0.000 0.000
2 In 0.000 0.500 0.000
3 Ga 0.500 0.500 0.500
4 Cd 0.000 0.000 0.000
5 Rh 0.000 0.000 0.500



4.
Density functional theory data (PBE) for crystalline CdInGa2Ru at its relaxed geometry.

Values from the calculation:
**Raw total energy**: -0.095 Ha/atom
**Space group**: P4/mmm (123)
**Total moment**: 0.46 μB/atom
**DOS(E_F)**: 6.69 states/eV/f.u.

a = 4.973 Å, b = 5.438 Å, c = 4.973 Å
α = 90.00°, β = 90.00°, γ = 90.00°
Last column: magnetic moment on the atom in μB.
Fractional coordinates of all 5 atoms:
1 Ru 0.500 0.500 0.500  2.22
2 Ga 0.000 0.000 0.500  -0.02
3 In 0.000 0.500 0.000  -0.01
4 Cd 0.000 0.000 0.000  0.00
5 Ga 0.500 0.000 0.000  -0.02



5.
Density functional theory data (PBE) for crystalline CdIn2GaS6 at its relaxed geometry.

Values from the calculation:
**Uncorrected formation energy**: -9.606 kcal/mol of atoms
**Raw total energy**: -0.141 Ha/atom
**Space group**: C2/c (15)
**Total moment**: 0.10 μB/atom

a = 6.896 Å, b = 9.420 Å, c = 9.420 Å
α = 91.14°, β = 71.15°, γ = 71.15°
Last column: magnetic moment on the atom in μB.
Fractional coordinates of all 20 atoms:
1 In 0.161 0.408 0.228  0.00
2 S 0.433 0.455 0.332  0.29
3 S 0.417 0.897 0.360  0.00
4 Cd 0.250 0.830 0.170  0.00
5 S 0.917 0.360 0.897  0.00
6 Cd 0.750 0.170 0.830  0.00
7 S 0.083 0.640 0.103  0.00
8 In 0.661 0.228 0.408  0.00
9 S 0.376 0.181 0.032  0.01
10 S 0.583 0.103 0.640  0.00
11 In 0.339 0.772 0.592  0.00
12 S 0.933 0.332 0.455  0.29
13 S 0.124 0.968 0.819  0.01
14 S 0.067 0.668 0.545  0.29
15 In 0.839 0.592 0.772  0.00
16 S 0.624 0.819 0.968  0.01
17 Ga 0.250 0.166 0.834  0.00
18 S 0.567 0.545 0.668  0.29
19 S 0.876 0.032 0.181  0.01
20 Ga 0.750 0.834 0.166  0.00



6.
Density functional theory data (PBE) for crystalline CdInGaSb at its relaxed geometry.

Values from the calculation:
**Uncorrected formation energy**: 1.723 kcal/mol of atoms
**Raw total energy**: -0.097 Ha/atom
**Space group**: F-43m (216)
**Total moment**: 0.00 μB/atom
**DOS(E_F)**: 1.62 states/eV/f.u.

a = 5.209 Å, b = 5.209 Å, c = 5.209 Å
α = 60.00°, β = 60.00°, γ = 60.00°
Fractional coordinates of all 4 atoms:
1 Ga 0.250 0.250 0.250
2 Sb 0.000 0.000 0.000
3 Cd 0.750 0.750 0.750
4 In 0.500 0.500 0.500



7.
Density functional theory data (PBE) for crystalline ScCdInGa at its relaxed geometry.

Values from the calculation:
**Raw total energy**: -0.132 Ha/atom
**Space group**: Pmmm (47)
**Total moment**: 0.00 μB/atom
**DOS(E_F)**: 1.46 states/eV/f.u.

a = 4.297 Å, b = 4.318 Å, c = 4.451 Å
α = 90.00°, β = 90.00°, γ = 90.00°
Fractional coordinates of all 4 atoms:
1 Cd 0.500 0.500 0.000
2 Ga 0.000 0.500 0.500
3 Sc 0.500 0.000 0.500
4 In 0.000 0.000 0.000



8.
Density functional theory data (PBE) for crystalline Sm4Cd2InGa at its relaxed geometry.

Values from the calculation:
**Raw total energy**: -0.137 Ha/atom
**Space group**: R-3m (166)
**Total moment**: 0.00 μB/atom
**DOS(E_F)**: 9.30 states/eV/f.u.

a = 5.349 Å, b = 5.349 Å, c = 9.257 Å
α = 73.20°, β = 73.20°, γ = 60.00°
Fractional coordinates of all 8 atoms:
1 Ga 0.500 0.500 0.500
2 Cd 0.747 0.747 0.759
3 In 0.000 0.000 0.000
4 Sm 0.379 0.379 0.862
5 Sm 0.621 0.621 0.138
6 Sm 0.871 0.871 0.387
7 Cd 0.253 0.253 0.241
8 Sm 0.129 0.129 0.613



9.
Density functional theory data (PBE) for crystalline SmCd2InGa at its relaxed geometry.

Values from the calculation:
**Raw total energy**: -0.097 Ha/atom
**Space group**: Cmcm (63)
**Total moment**: 0.00 μB/atom
**DOS(E_F)**: 1.86 states/eV/f.u.

a = 3.557 Å, b = 9.270 Å, c = 8.123 Å
α = 90.00°, β = 90.00°, γ = 101.06°
Fractional coordinates of all 10 atoms:
1 Ga 0.754 0.509 0.750
2 Ga 0.246 0.491 0.250
3 Cd 0.168 0.335 0.938
4 Cd 0.168 0.335 0.562
5 Cd 0.832 0.665 0.062
6 Cd 0.832 0.665 0.438
7 In 0.000 0.000 0.000
8 Sm 0.604 0.207 0.250
9 In 0.000 0.000 0.500
10 Sm 0.396 0.793 0.750



10.
Density functional theory data (PBE) for crystalline CdIn4GaSn2 at its relaxed geometry.

Values from the calculation:
**Raw total energy**: -0.102 Ha/atom
**Space group**: Imma (74)
**Total moment**: 0.00 μB/atom
**DOS(E_F)**: 4.09 states/eV/f.u.

a = 8.754 Å, b = 8.754 Å, c = 11.053 Å
α = 129.15°, β = 129.15°, γ = 86.21°
Fractional coordinates of all 16 atoms:
1 In 0.244 0.744 0.494
2 In 0.758 0.742 0.499
3 Cd 0.500 0.500 0.500
4 Sn 0.000 0.000 0.500
5 Ga 0.000 0.500 0.500
6 Sn 0.500 0.000 0.500
7 In 0.756 0.256 0.006
8 In 0.242 0.258 0.999
9 In 0.758 0.742 0.001
10 Cd 0.000 0.000 0.000
11 Ga 0.000 0.500 0.000
12 Sn 0.500 0.500 0.000
13 In 0.756 0.256 0.506
14 Sn 0.500 0.000 0.000
15 In 0.244 0.744 0.994
16 In 0.242 0.258 0.501



11.
Density functional theory data (PBE) for crystalline Cd2InGa2Sn2 at its relaxed geometry.

Values from the calculation:
**Raw total energy**: -0.095 Ha/atom
**Space group**: C2/m (12)
**Total moment**: 0.00 μB/atom
**DOS(E_F)**: 3.00 states/eV/f.u.

a = 5.079 Å, b = 5.527 Å, c = 6.815 Å
α = 86.00°, β = 90.00°, γ = 117.35°
Fractional coordinates of all 7 atoms:
1 Sn 0.847 0.693 0.929
2 Sn 0.153 0.307 0.071
3 In 0.000 0.000 0.500
4 Cd 0.559 0.118 0.776
5 Cd 0.441 0.882 0.224
6 Ga 0.718 0.436 0.368
7 Ga 0.282 0.564 0.632



12.
Density functional theory data (PBE) for crystalline Sr2CdIn6Ga at its relaxed geometry.

Values from the calculation:
**Raw total energy**: -0.091 Ha/atom
**Space group**: R-3m (166)
**Total moment**: 0.00 μB/atom
**DOS(E_F)**: 4.75 states/eV/f.u.

a = 7.146 Å, b = 7.146 Å, c = 14.551 Å
α = 75.79°, β = 75.79°, γ = 60.00°
Fractional coordinates of all 20 atoms:
1 Sr 0.867 0.867 0.398
2 In 0.791 0.791 0.162
3 Sr 0.689 0.689 0.933
4 In 0.652 0.064 0.632
5 Ga 0.573 0.573 0.280
6 In 0.348 0.936 0.368
7 Sr 0.311 0.311 0.067
8 In 0.791 0.256 0.162
9 In 0.936 0.348 0.368
10 In 0.744 0.209 0.838
11 In 0.348 0.348 0.368
12 In 0.652 0.652 0.632
13 Cd 0.000 0.000 0.000
14 Cd 0.500 0.500 0.500
15 In 0.256 0.791 0.162
16 In 0.209 0.209 0.838
17 In 0.209 0.744 0.838
18 In 0.064 0.652 0.632
19 Ga 0.427 0.427 0.720
20 Sr 0.133 0.133 0.602



13.
Density functional theory data (PBE) for crystalline Sr2Cd4In3Ga at its relaxed geometry.

Values from the calculation:
**Raw total energy**: -0.077 Ha/atom
**Space group**: P-4m2 (115)
**Total moment**: 0.00 μB/atom
**DOS(E_F)**: 4.68 states/eV/f.u.

a = 4.775 Å, b = 4.775 Å, c = 12.121 Å
α = 90.00°, β = 90.00°, γ = 90.00°
Fractional coordinates of all 10 atoms:
1 Sr 0.000 0.500 0.747
2 Cd 0.000 0.000 0.000
3 Sr 0.500 0.000 0.253
4 Ga 0.500 0.500 0.500
5 In 0.500 0.000 0.862
6 In 0.000 0.000 0.500
7 Cd 0.500 0.000 0.632
8 Cd 0.500 0.500 0.000
9 In 0.000 0.500 0.138
10 Cd 0.000 0.500 0.368